# 1
This record from Alexandria describes a relaxed structure of K2YOs. The functional is GGA-PBE.

abc: 3.019 3.019 12.726
angles: 90.00 90.00 90.00
Sites, in units of the cell vectors:
K1 0.000 0.000 0.045
K2 0.000 0.000 0.455
Os1 0.500 0.500 0.250
Y1 0.500 0.500 0.750

## Properties
Total magnetic moment ... 0.69 μB per cell
Energy of formation ... 123.4 kJ per mole of atoms


# 2
This record from Alexandria describes a relaxed structure of Pm4Y2ErTm2. The functional is GGA-PBE.

abc: 5.063 8.014 8.007
angles: 107.45 90.00 108.41
Sites, in units of the cell vectors:
Pm1 0.778 0.556 0.669
Pm2 0.222 0.444 0.331
Pm3 0.555 0.109 0.329
Pm4 0.445 0.891 0.671
Y1 0.888 0.777 0.330
Y2 0.112 0.223 0.670
Er1 0.000 0.000 0.000
Tm1 0.333 0.666 0.000
Tm2 0.667 0.334 0.000

## Properties
Total magnetic moment ... 0.00 μB per cell
Energy of formation ... 2.2 kJ per mole of atoms


# 3
This record from Alexandria describes a relaxed structure of HgIr4Au. The functional is GGA-PBE.

abc: 5.263 5.263 5.263
angles: 60.00 60.00 60.00
Sites, in units of the cell vectors:
Hg1 0.000 0.000 0.000
Ir1 0.875 0.375 0.375
Ir2 0.375 0.375 0.875
Ir3 0.375 0.875 0.375
Ir4 0.375 0.375 0.375
Au1 0.750 0.750 0.750

## Properties
Total magnetic moment ... 0.87 μB per cell
Energy of formation ... 61.5 kJ per mole of atoms


# 4
This record from Alexandria describes a relaxed structure of TlMoSe2. The functional is GGA-PBE.

abc: 7.682 7.682 7.682
angles: 150.65 150.65 41.99
Sites, in units of the cell vectors:
Mo1 0.750 0.250 0.500
Se1 0.000 0.000 0.000
Se2 0.250 0.750 0.500
Tl1 0.500 0.500 0.000

## Properties
Total magnetic moment ... 3.82 μB per cell
Raw formation energy ... 0.495 eV/atom


What is the formula in the third record? HgIr4Au